A relaxed structure of Ta2ReSn, computed with PBE.

Lattice parameters (Å, degrees): 6.108 6.108 6.108 101.86 101.86 126.09
Fractional coordinates of all 8 atoms:
Ta: 0.072 0.125 0.447
Ta: 0.375 0.928 0.053
Ta: 0.678 0.625 0.553
Ta: 0.875 0.322 0.947
Re: 0.000 0.000 0.000
Re: 0.750 0.250 0.500
Sn: 0.250 0.750 0.500
Sn: 0.500 0.500 0.000

## Properties
M_tot = 0.0 Bohr magnetons per cell
Calculated volume = 164.18 Å³ per cell
Crystal system = tetragonal
Calculated formation energy = 622 meV/atom

A relaxed structure of Ta3ReSn, computed with PBE.

Lattice parameters (Å, degrees): 4.875 4.875 4.875 90.00 90.00 90.00
Fractional coordinates of all 5 atoms:
Ta: 0.000 0.000 0.500
Ta: 0.000 0.500 0.000
Ta: 0.500 0.000 0.000
Re: 0.000 0.000 0.000
Sn: 0.500 0.500 0.500

## Properties
M_tot = 0.0 Bohr magnetons per cell
Calculated volume = 115.89 Å³ per cell
Crystal system = cubic
Excess energy over the best structure of this formula in the dataset = 0.000 eV per atom
Calculated formation energy = 1081 meV/atom

A relaxed structure of TaReSn3, computed with PBE.

Lattice parameters (Å, degrees): 5.146 5.146 5.146 90.00 90.00 90.00
Fractional coordinates of all 5 atoms:
Ta: 0.000 0.000 0.000
Re: 0.500 0.500 0.500
Sn: 0.000 0.500 0.500
Sn: 0.500 0.000 0.500
Sn: 0.500 0.500 0.000

## Properties
M_tot = 2.8 Bohr magnetons per cell
Calculated volume = 136.30 Å³ per cell
Crystal system = cubic
Excess energy over the best structure of this formula in the dataset = 0.000 eV per atom
Calculated formation energy = 1288 meV/atom

A relaxed structure of ReTcSn, computed with PBE.

Lattice parameters (Å, degrees): 6.062 6.062 6.062 151.66 151.66 40.51
Fractional coordinates of all 3 atoms:
Re: 0.000 0.000 0.000
Tc: 0.360 0.360 0.000
Sn: 0.682 0.682 0.000

## Properties
M_tot = 0.0 Bohr magnetons per cell
Calculated volume = 50.10 Å³ per cell
Crystal system = tetragonal
Excess energy over the best structure of this formula in the dataset = 0.000 eV per atom
Calculated formation energy = 192 meV/atom

A relaxed structure of ReTcSn, computed with PBE.

Lattice parameters (Å, degrees): 2.995 2.995 12.926 90.00 90.00 120.00
Fractional coordinates of all 6 atoms:
Re: 0.000 0.000 0.159
Re: 0.000 0.000 0.841
Tc: 0.000 0.000 0.500
Tc: 0.667 0.333 0.000
Sn: 0.667 0.333 0.333
Sn: 0.667 0.333 0.667

## Properties
M_tot = 0.0 Bohr magnetons per cell
Calculated volume = 100.43 Å³ per cell
Crystal system = hexagonal
Excess energy over the best structure of this formula in the dataset = 0.163 eV per atom
Calculated formation energy = 355 meV/atom

A relaxed structure of ReTc2Sn, computed with PBE.

Lattice parameters (Å, degrees): 3.089 3.089 6.673 90.00 90.00 90.00
Fractional coordinates of all 4 atoms:
Re: 0.000 0.000 0.000
Tc: 0.500 0.500 0.238
Tc: 0.500 0.500 0.762
Sn: 0.000 0.000 0.500

## Properties
M_tot = 0.0 Bohr magnetons per cell
Calculated volume = 63.69 Å³ per cell
Crystal system = tetragonal
Calculated formation energy = 171 meV/atom

A relaxed structure of ReTc3Sn, computed with PBE.

Lattice parameters (Å, degrees): 4.718 4.718 4.718 90.00 90.00 90.00
Fractional coordinates of all 5 atoms:
Re: 0.000 0.000 0.000
Tc: 0.000 0.000 0.500
Tc: 0.000 0.500 0.000
Tc: 0.500 0.000 0.000
Sn: 0.500 0.500 0.500

## Properties
M_tot = 1.6 Bohr magnetons per cell
Calculated volume = 105.05 Å³ per cell
Crystal system = cubic
Excess energy over the best structure of this formula in the dataset = 0.000 eV per atom
Calculated formation energy = 1486 meV/atom

A relaxed structure of ReTcSn2, computed with PBE.

Lattice parameters (Å, degrees): 4.624 4.624 4.624 60.00 60.00 60.00
Fractional coordinates of all 4 atoms:
Re: 0.000 0.000 0.000
Tc: 0.500 0.500 0.500
Sn: 0.250 0.250 0.250
Sn: 0.750 0.750 0.750

## Properties
M_tot = 0.0 Bohr magnetons per cell
Calculated volume = 69.90 Å³ per cell
Crystal system = cubic
Excess energy over the best structure of this formula in the dataset = 0.000 eV per atom
Calculated formation energy = 404 meV/atom

A relaxed structure of ReTcSn2, computed with PBE.

Lattice parameters (Å, degrees): 6.016 6.016 6.016 102.50 102.50 124.55
Fractional coordinates of all 8 atoms:
Re: 0.000 0.000 0.000
Re: 0.750 0.250 0.500
Tc: 0.250 0.750 0.500
Tc: 0.500 0.500 0.000
Sn: 0.124 0.125 0.499
Sn: 0.375 0.876 0.001
Sn: 0.626 0.625 0.501
Sn: 0.875 0.374 0.999

## Properties
M_tot = 1.5 Bohr magnetons per cell
Calculated volume = 158.75 Å³ per cell
Crystal system = tetragonal
Excess energy over the best structure of this formula in the dataset = 0.656 eV per atom
Calculated formation energy = 1060 meV/atom

A relaxed structure of Re3TcSn, computed with PBE.

Lattice parameters (Å, degrees): 4.711 4.711 4.711 90.00 90.00 90.00
Fractional coordinates of all 5 atoms:
Re: 0.000 0.000 0.500
Re: 0.000 0.500 0.000
Re: 0.500 0.000 0.000
Tc: 0.000 0.000 0.000
Sn: 0.500 0.500 0.500

## Properties
M_tot = 1.5 Bohr magnetons per cell
Calculated volume = 104.58 Å³ per cell
Crystal system = cubic
Excess energy over the best structure of this formula in the dataset = 0.000 eV per atom
Calculated formation energy = 1965 meV/atom

A relaxed structure of Re2TcSn, computed with PBE.

Lattice parameters (Å, degrees): 5.888 5.888 5.888 101.70 101.70 126.46
Fractional coordinates of all 8 atoms:
Re: 0.078 0.625 0.953
Re: 0.375 0.328 0.453
Re: 0.672 0.125 0.047
Re: 0.875 0.922 0.547
Tc: 0.000 0.000 0.000
Tc: 0.750 0.250 0.500
Sn: 0.250 0.750 0.500
Sn: 0.500 0.500 0.000

## Properties
M_tot = 0.0 Bohr magnetons per cell
Calculated volume = 146.58 Å³ per cell
Crystal system = tetragonal
Calculated formation energy = 933 meV/atom

A relaxed structure of ReTc2Sn, computed with PBE.

Lattice parameters (Å, degrees): 5.869 5.869 5.869 102.55 102.55 124.43
Fractional coordinates of all 8 atoms:
Re: 0.000 0.000 0.000
Re: 0.750 0.250 0.500
Tc: 0.074 0.625 0.949
Tc: 0.375 0.324 0.449
Tc: 0.676 0.125 0.051
Tc: 0.875 0.926 0.551
Sn: 0.250 0.750 0.500
Sn: 0.500 0.500 0.000

## Properties
M_tot = 0.0 Bohr magnetons per cell
Calculated volume = 147.50 Å³ per cell
Crystal system = tetragonal
Calculated formation energy = 779 meV/atom

A relaxed structure of ReTc2Sn, computed with PBE.

Lattice parameters (Å, degrees): 2.865 2.865 16.860 90.00 90.06 90.00
Fractional coordinates of all 8 atoms:
Re: 0.249 0.250 0.333
Re: 0.751 0.750 0.667
Tc: 0.250 0.250 0.554
Tc: 0.252 0.250 0.770
Tc: 0.748 0.750 0.230
Tc: 0.750 0.750 0.446
Sn: 0.247 0.250 0.101
Sn: 0.753 0.750 0.899

## Properties
M_tot = 0.0 Bohr magnetons per cell
Calculated volume = 138.36 Å³ per cell
Crystal system = monoclinic
Calculated formation energy = 161 meV/atom

A relaxed structure of TiReTcSn, computed with PBE.

Lattice parameters (Å, degrees): 4.509 4.509 4.509 60.00 60.00 60.00
Fractional coordinates of all 4 atoms:
Ti: 0.000 0.000 0.000
Re: 0.250 0.250 0.250
Tc: 0.750 0.750 0.750
Sn: 0.500 0.500 0.500

## Properties
M_tot = 0.0 Bohr magnetons per cell
Calculated volume = 64.80 Å³ per cell
Crystal system = cubic
Calculated formation energy = -79 meV/atom

A relaxed structure of Tl2ReTcSn, computed with PBE.

Lattice parameters (Å, degrees): 5.308 5.308 5.127 90.00 90.00 90.00
Fractional coordinates of all 5 atoms:
Tl: 0.000 0.500 0.000
Tl: 0.500 0.000 0.000
Re: 0.000 0.000 0.500
Tc: 0.500 0.500 0.000
Sn: 0.500 0.500 0.500

## Properties
M_tot = 5.2 Bohr magnetons per cell
Calculated volume = 144.42 Å³ per cell
Crystal system = tetragonal
Calculated formation energy = 1511 meV/atom

A relaxed structure of TlRe2TcSn, computed with PBE.

Lattice parameters (Å, degrees): 4.992 4.992 5.251 90.00 90.00 90.00
Fractional coordinates of all 5 atoms:
Tl: 0.000 0.000 0.000
Re: 0.000 0.500 0.000
Re: 0.500 0.000 0.000
Tc: 0.500 0.500 0.500
Sn: 0.000 0.000 0.500

## Properties
M_tot = 5.4 Bohr magnetons per cell
Calculated volume = 130.83 Å³ per cell
Crystal system = tetragonal
Calculated formation energy = 3128 meV/atom

A relaxed structure of VReTcSn, computed with PBE.

Lattice parameters (Å, degrees): 4.455 4.455 4.455 60.00 60.00 60.00
Fractional coordinates of all 4 atoms:
V: 0.000 0.000 0.000
Re: 0.750 0.750 0.750
Tc: 0.250 0.250 0.250
Sn: 0.500 0.500 0.500

## Properties
M_tot = 0.0 Bohr magnetons per cell
Calculated volume = 62.53 Å³ per cell
Crystal system = cubic
Calculated formation energy = 52 meV/atom

A relaxed structure of ZnReTcSn2, computed with PBE.

Lattice parameters (Å, degrees): 4.899 4.899 4.701 90.00 90.00 90.00
Fractional coordinates of all 5 atoms:
Zn: 0.000 0.000 0.000
Re: 0.000 0.000 0.500
Tc: 0.500 0.500 0.500
Sn: 0.000 0.500 0.000
Sn: 0.500 0.000 0.000

## Properties
M_tot = 4.3 Bohr magnetons per cell
Calculated volume = 112.81 Å³ per cell
Crystal system = tetragonal
Excess energy over the best structure of this formula in the dataset = 0.692 eV per atom
Calculated formation energy = 1709 meV/atom

A relaxed structure of ZnReTcSn2, computed with PBE.

Lattice parameters (Å, degrees): 5.201 5.201 4.791 90.00 90.00 90.00
Fractional coordinates of all 5 atoms:
Zn: 0.000 0.000 0.000
Re: 0.500 0.500 0.500
Tc: 0.500 0.500 0.000
Sn: 0.000 0.500 0.500
Sn: 0.500 0.000 0.500

## Properties
M_tot = 1.6 Bohr magnetons per cell
Calculated volume = 129.58 Å³ per cell
Crystal system = tetragonal
Excess energy over the best structure of this formula in the dataset = 0.000 eV per atom
Calculated formation energy = 1017 meV/atom

A relaxed structure of ZrReTc2Sn, computed with PBE.

Lattice parameters (Å, degrees): 4.794 4.794 4.906 90.00 90.00 90.00
Fractional coordinates of all 5 atoms:
Zr: 0.000 0.000 0.000
Re: 0.000 0.000 0.500
Tc: 0.000 0.500 0.000
Tc: 0.500 0.000 0.000
Sn: 0.500 0.500 0.500

## Properties
M_tot = 3.4 Bohr magnetons per cell
Calculated volume = 112.73 Å³ per cell
Crystal system = tetragonal
Calculated formation energy = 1928 meV/atom